Compound: Bi2Pd2Au
Source: the Alexandria database
Functional: GGA-PBE
Structure: relaxed

Properties
Formation energy from the elements: -202 meV/atom
Energy above the most stable polymorph in this dataset: 0.000 eV per atom
Electronic total energy: -44.87 eV/cell
Symmetry: P4/mbm

Cell lengths 7.4961, 7.4961, 3.8250 Å; angles 90.00, 90.00, 90.00 degrees
Last column: nearest neighbours and their distance in Å.
Element x y z (fractional)
Bi: 0.1660 0.3340 0.0000  6 Pd 2.84-2.97
Bi: 0.3340 0.8340 0.0000  6 Pd 2.84-2.97
Bi: 0.6660 0.1660 0.0000  6 Pd 2.84-2.97
Bi: 0.8340 0.6660 0.0000  6 Pd 2.84-2.97
Pd: 0.1355 0.6355 0.5000  6 Bi 2.84-2.97, 1 Pd 2.87, 2 Au 2.91
Pd: 0.3645 0.1355 0.5000  6 Bi 2.84-2.97, 1 Pd 2.87, 2 Au 2.91
Pd: 0.6355 0.8645 0.5000  6 Bi 2.84-2.97, 1 Pd 2.87, 2 Au 2.91
Pd: 0.8645 0.3645 0.5000  6 Bi 2.84-2.97, 1 Pd 2.87, 2 Au 2.91
Au: 0.0000 0.0000 0.5000  4 Pd 2.91
Au: 0.5000 0.5000 0.5000  4 Pd 2.91